[1]
TcP3Rh: relaxed, PBE.

Lattice parameters (Å, degrees): 4.5426 4.5426 4.5426 90.00 90.00 90.00
Fractional positions:
P: 0.0000 0.5000 0.0000
P: 0.0000 0.0000 0.5000
P: 0.5000 0.0000 0.0000
Tc: 0.0000 0.0000 0.0000
Rh: 0.5000 0.5000 0.5000

Space group   Pm-3m (221)
Formation enthalpy at 0 K   0.7757 eV/atom

[2]
ZnRe2Se2: relaxed, PBE.

Lattice parameters (Å, degrees): 3.8603 3.8603 8.5308 76.92 76.92 90.00
Fractional positions:
Re: 0.7500 0.2500 0.5000
Se: 0.3508 0.3508 0.2983
Se: 0.6492 0.6492 0.7017
Re: 0.2500 0.7500 0.5000
Zn: 0.0000 0.0000 0.0000

Formation energy from raw total energies   1.843 eV per formula unit
Space group   I4/mmm (139)

| no. | calculated volume (Å³ per cell) | final energy (eV/atom) | magnetization (μB/cell) |
| --- | --- | --- | --- |
| 1 | 93.7 | -6.014 | 0.00 |
| 2 | 120.4 | -6.259 | 0.00 |